Record 1
A plane-wave DFT calculation with PBE was carried out for crystalline Sb2S3O12 at its relaxed geometry.

Calculated values
Its total magnetic moment is 0.00 μB per cell. For the electronic total energy, the calculation gives -6.008 eV per atom.

The structure in CIF format:
```
data_Sb2S3O12
_chemical_formula_sum 'Sb4 S6 O24'
_space_group_name_H-M_alt 'P 1'
_space_group_IT_number 1
_space_group_name_Hall 'P 1'
_cell_length_a 9.2946
_cell_length_b 9.2946
_cell_length_c 9.2946
_cell_angle_alpha 60.81
_cell_angle_beta 60.81
_cell_angle_gamma 60.81
loop_
_atom_site_label
_atom_site_type_symbol
_atom_site_fract_x
_atom_site_fract_y
_atom_site_fract_z
Sb1 Sb 0.1401 0.1401 0.1401
Sb2 Sb 0.3539 0.3539 0.3539
Sb3 Sb 0.6461 0.6461 0.6461
Sb4 Sb 0.8599 0.8599 0.8599
S1 S 0.0150 0.4838 0.7459
S2 S 0.2541 0.9850 0.5162
S3 S 0.4838 0.7459 0.0150
S4 S 0.5162 0.2541 0.9850
S5 S 0.7459 0.0150 0.4838
S6 S 0.9850 0.5162 0.2541
O1 O 0.0003 0.3782 0.2006
O2 O 0.9997 0.6218 0.7994
O3 O 0.0925 0.3107 0.8573
O4 O 0.1175 0.5143 0.5603
O5 O 0.1427 0.9075 0.6893
O6 O 0.1691 0.5011 0.2187
O7 O 0.2006 0.0003 0.3782
O8 O 0.2187 0.1691 0.5011
O9 O 0.3107 0.8573 0.0925
O10 O 0.3782 0.2006 0.0003
O11 O 0.4397 0.8825 0.4857
O12 O 0.4857 0.4397 0.8825
O13 O 0.4989 0.7813 0.8309
O14 O 0.5011 0.2187 0.1691
O15 O 0.5143 0.5603 0.1175
O16 O 0.5603 0.1175 0.5143
O17 O 0.6218 0.7994 0.9997
O18 O 0.6893 0.1427 0.9075
O19 O 0.7813 0.8309 0.4989
O20 O 0.7994 0.9997 0.6218
O21 O 0.8309 0.4989 0.7813
O22 O 0.8573 0.0925 0.3107
O23 O 0.8825 0.4857 0.4397
O24 O 0.9075 0.6893 0.1427
```



Record 2
A plane-wave DFT calculation with PBE was carried out for crystalline PmTm2F11 at its relaxed geometry.

Calculated values
Its total magnetic moment is 4.21 μB per cell. For the electronic total energy, the calculation gives -5.918 eV per atom.

The structure in CIF format:
```
data_PmTm2F11
_chemical_formula_sum 'Pm2 Tm4 F22'
_space_group_name_H-M_alt 'P 1'
_space_group_IT_number 1
_space_group_name_Hall 'P 1'
_cell_length_a 8.6717
_cell_length_b 8.6717
_cell_length_c 8.6717
_cell_angle_alpha 123.02
_cell_angle_beta 108.01
_cell_angle_gamma 98.38
loop_
_atom_site_label
_atom_site_type_symbol
_atom_site_fract_x
_atom_site_fract_y
_atom_site_fract_z
Pm1 Pm 0.2500 0.2500 0.0000
Pm2 Pm 0.7500 0.7500 0.0000
Tm1 Tm 0.1881 0.6555 0.8436
Tm2 Tm 0.3119 0.1555 0.4673
Tm3 Tm 0.6881 0.8445 0.5327
Tm4 Tm 0.8119 0.3445 0.1564
F1 F 0.0000 0.5000 0.5000
F2 F 0.0351 0.9656 0.2801
F3 F 0.0531 0.3442 0.1359
F4 F 0.1855 0.4656 0.9305
F5 F 0.1985 0.3890 0.5875
F6 F 0.2084 0.9172 0.8641
F7 F 0.2916 0.1558 0.7089
F8 F 0.3015 0.8890 0.1905
F9 F 0.3145 0.2450 0.2801
F10 F 0.4469 0.5828 0.2911
F11 F 0.4649 0.7450 0.9305
F12 F 0.5000 0.0000 0.5000
F13 F 0.5351 0.2550 0.0695
F14 F 0.5531 0.4172 0.7089
F15 F 0.6855 0.7550 0.7199
F16 F 0.6985 0.1110 0.8095
F17 F 0.7084 0.8442 0.2911
F18 F 0.7916 0.0828 0.1359
F19 F 0.8015 0.6110 0.4125
F20 F 0.8145 0.5344 0.0695
F21 F 0.9469 0.6558 0.8641
F22 F 0.9649 0.0344 0.7199
```



Record 3
A plane-wave DFT calculation with PBE was carried out for crystalline K3Ga6Au5 at its relaxed geometry.

Calculated values
The energy of formation from the pure elements comes out at -0.2710 eV per atom. Its total magnetic moment is 0.00 μB per cell. For the electronic total energy, the calculation gives -2.974 eV per atom.

The structure in CIF format:
```
data_K3Ga6Au5
_chemical_formula_sum 'K6 Ga12 Au10'
_space_group_name_H-M_alt 'P 1'
_space_group_IT_number 1
_space_group_name_Hall 'P 1'
_cell_length_a 4.4547
_cell_length_b 13.1469
_cell_length_c 11.3920
_cell_angle_alpha 90.00
_cell_angle_beta 90.00
_cell_angle_gamma 90.00
loop_
_atom_site_label
_atom_site_type_symbol
_atom_site_fract_x
_atom_site_fract_y
_atom_site_fract_z
K1 K 0.2500 0.1067 0.2491
K2 K 0.2500 0.3933 0.2491
K3 K 0.2500 0.7500 0.2577
K4 K 0.7500 0.2500 0.7423
K5 K 0.7500 0.6067 0.7509
K6 K 0.7500 0.8933 0.7509
Ga1 Ga 0.2500 0.0537 0.5981
Ga2 Ga 0.2500 0.2500 0.4951
Ga3 Ga 0.2500 0.2500 0.9617
Ga4 Ga 0.2500 0.4463 0.5981
Ga5 Ga 0.2500 0.5684 0.0180
Ga6 Ga 0.2500 0.9316 0.0180
Ga7 Ga 0.7500 0.0684 0.9820
Ga8 Ga 0.7500 0.4316 0.9820
Ga9 Ga 0.7500 0.5537 0.4019
Ga10 Ga 0.7500 0.7500 0.0383
Ga11 Ga 0.7500 0.7500 0.5049
Ga12 Ga 0.7500 0.9463 0.4019
Au1 Au 0.2500 0.0695 0.8397
Au2 Au 0.2500 0.4305 0.8397
Au3 Au 0.2500 0.6344 0.5133
Au4 Au 0.2500 0.7500 0.9243
Au5 Au 0.2500 0.8656 0.5133
Au6 Au 0.7500 0.1344 0.4867
Au7 Au 0.7500 0.2500 0.0757
Au8 Au 0.7500 0.3656 0.4867
Au9 Au 0.7500 0.5695 0.1603
Au10 Au 0.7500 0.9305 0.1603
```